An optimized crystal structure of Na2NdNiH8, computed with PBE.

Geometry as POSCAR:
```
Na2NdNiH8
1.0
4.675 0.000 0.000
-2.337 4.048 0.000
0.000 0.000 6.270
Na Nd Ni H
2 1 1 8
direct
0.333 0.667 0.366 Na
0.667 0.333 0.634 Na
0.000 0.000 0.000 Nd
0.000 0.000 0.500 Ni
0.149 0.298 0.657 H
0.149 0.851 0.657 H
0.298 0.149 0.343 H
0.333 0.667 0.018 H
0.667 0.333 0.982 H
0.702 0.851 0.657 H
0.851 0.149 0.343 H
0.851 0.702 0.343 H
```

***

An optimized crystal structure of NaNdH6Pt2, computed with PBE.

Geometry as POSCAR:
```
NaNdH6Pt2
1.0
4.636 -3.998 0.000
4.636 3.998 0.000
-2.934 0.000 7.150
Na Nd H Pt
2 2 12 4
direct
0.103 0.897 0.750 Na
0.897 0.103 0.250 Na
0.428 0.572 0.250 Nd
0.572 0.428 0.750 Nd
0.058 0.753 0.229 H
0.170 0.368 0.650 H
0.247 0.942 0.271 H
0.294 0.665 0.946 H
0.335 0.706 0.554 H
0.368 0.170 0.150 H
0.632 0.830 0.850 H
0.665 0.294 0.446 H
0.706 0.335 0.054 H
0.753 0.058 0.729 H
0.830 0.632 0.350 H
0.942 0.247 0.771 H
0.110 0.455 0.856 Pt
0.455 0.110 0.356 Pt
0.545 0.890 0.644 Pt
0.890 0.545 0.144 Pt
```

***

An optimized crystal structure of NaNd2H12Rh3, computed with PBE.

Geometry as POSCAR:
```
NaNd2H12Rh3
1.0
3.176 1.834 4.876
-3.176 1.834 4.876
0.000 -3.668 4.876
Na Nd H Rh
1 2 12 3
direct
0.000 0.000 0.000 Na
0.385 0.385 0.385 Nd
0.615 0.615 0.615 Nd
0.130 0.130 0.582 H
0.130 0.582 0.130 H
0.141 0.699 0.699 H
0.301 0.301 0.859 H
0.301 0.859 0.301 H
0.418 0.870 0.870 H
0.582 0.130 0.130 H
0.699 0.141 0.699 H
0.699 0.699 0.141 H
0.859 0.301 0.301 H
0.870 0.418 0.870 H
0.870 0.870 0.418 H
0.000 0.000 0.500 Rh
0.000 0.500 0.000 Rh
0.500 0.000 0.000 Rh
```

***

An optimized crystal structure of NaNd2H6Ru, computed with PBE.

Geometry as POSCAR:
```
NaNd2H6Ru
1.0
4.789 0.000 0.000
-2.394 4.147 0.000
0.000 0.000 6.974
Na Nd H Ru
1 2 6 1
direct
0.000 0.000 0.000 Na
0.333 0.667 0.701 Nd
0.667 0.333 0.299 Nd
0.170 0.341 0.357 H
0.170 0.830 0.357 H
0.341 0.170 0.643 H
0.659 0.830 0.357 H
0.830 0.170 0.643 H
0.830 0.659 0.643 H
0.000 0.000 0.500 Ru
```

***

An optimized crystal structure of NaNiH2, computed with PBE.

Geometry as POSCAR:
```
NaNiH2
1.0
0.000 2.641 2.641
2.641 0.000 2.641
2.641 2.641 0.000
Na Ni H
1 1 2
direct
0.000 0.000 0.000 Na
0.500 0.500 0.500 Ni
0.250 0.250 0.250 H
0.750 0.750 0.750 H
```

Results
energy above the most stable polymorph in this dataset	655.3	meV per atom

***

An optimized crystal structure of Na2NiH3, computed with PBE.

Geometry as POSCAR:
```
Na2NiH3
1.0
4.353 -3.128 0.000
4.353 3.128 0.000
0.000 0.000 4.804
Na Ni H
4 2 6
direct
0.007 0.673 0.750 Na
0.327 0.993 0.750 Na
0.673 0.007 0.250 Na
0.993 0.327 0.250 Na
0.412 0.588 0.250 Ni
0.588 0.412 0.750 Ni
0.153 0.847 0.250 H
0.381 0.381 0.000 H
0.381 0.381 0.500 H
0.619 0.619 0.000 H
0.619 0.619 0.500 H
0.847 0.153 0.750 H
```

Results
energy above the most stable polymorph in this dataset	0.0	meV per atom

***

An optimized crystal structure of NaNiH2, computed with PBE.

Geometry as POSCAR:
```
NaNiH2
1.0
2.474 -1.413 0.000
2.474 1.413 0.000
-1.684 0.000 5.048
Na Ni H
1 1 2
direct
0.000 0.000 0.000 Na
0.500 0.500 0.500 Ni
0.215 0.215 0.650 H
0.785 0.785 0.350 H
```

Results
energy above the most stable polymorph in this dataset	71.8	meV per atom

***

An optimized crystal structure of NaNi3H6, computed with PBE.

Geometry as POSCAR:
```
NaNi3H6
1.0
2.262 1.306 4.019
-2.262 1.306 4.019
0.000 -2.612 4.019
Na Ni H
1 3 6
direct
0.000 0.000 0.000 Na
0.230 0.230 0.230 Ni
0.550 0.550 0.550 Ni
0.759 0.759 0.759 Ni
0.143 0.491 0.843 H
0.474 0.958 0.512 H
0.491 0.843 0.143 H
0.512 0.474 0.958 H
0.843 0.143 0.491 H
0.958 0.512 0.474 H
```

***

One value per record, in order, for raw total energy: -42.592, -84.374, -78.432, -43.915, -11.416, -38.799, -13.750, -39.199 eV/cell.